Record 1
Material: TaReTe
Method: DFT, PBE
State: optimized geometry

Summary:
- Energy relative to the elements, uncorrected: 63.7 kJ/mol of atoms

Cell lengths 4.479, 4.479, 4.479 Å; angles 60.00, 60.00, 60.00 degrees
Positions (direct):
Ta  0.000  0.000  0.000
Re  0.250  0.250  0.250
Te  0.750  0.750  0.750

=====

Record 2
Material: ScV2Cu
Method: DFT, PBE
State: optimized geometry

Summary:
- ΔH_f (0 K): 1.9 eV/f.u.

Cell lengths 4.390, 4.390, 4.390 Å; angles 60.00, 60.00, 60.00 degrees
Positions (direct):
Sc  0.000  0.000  0.000
V  0.250  0.250  0.250
V  0.750  0.750  0.750
Cu  0.500  0.500  0.500

=====

Record 3
Material: Al2ZnCo2
Method: DFT, PBE
State: optimized geometry

Summary:
- ΔH_f (0 K): -1.4 eV/f.u.

Cell lengths 6.858, 6.858, 2.725 Å; angles 90.00, 90.00, 90.00 degrees
Positions (direct):
Al  0.137  0.363  0.000
Al  0.363  0.863  0.000
Al  0.637  0.137  0.000
Al  0.863  0.637  0.000
Zn  0.000  0.000  0.000
Zn  0.500  0.500  0.000
Co  0.159  0.659  0.500
Co  0.341  0.159  0.500
Co  0.659  0.841  0.500
Co  0.841  0.341  0.500

=====

Record 4
Material: DyCrFe
Method: DFT, PBE
State: optimized geometry

Summary:
- ΔH_f (0 K): 1.7 eV/f.u.

Cell lengths 6.605, 6.605, 5.564 Å; angles 90.00, 90.00, 90.00 degrees
Positions (direct):
Dy  0.229  0.229  0.000
Dy  0.271  0.729  0.250
Dy  0.729  0.271  0.750
Dy  0.771  0.771  0.500
Cr  0.080  0.080  0.500
Cr  0.420  0.580  0.750
Cr  0.580  0.420  0.250
Cr  0.920  0.920  0.000
Fe  0.178  0.822  0.750
Fe  0.322  0.322  0.500
Fe  0.678  0.678  0.000
Fe  0.822  0.178  0.250

=====

Record 5
Material: Al2SiNi
Method: DFT, PBE
State: optimized geometry

Summary:
- Energy relative to the elements, uncorrected: -3.1 kJ/mol of atoms

Cell lengths 4.276, 4.276, 4.276 Å; angles 60.00, 60.00, 60.00 degrees
Positions (direct):
Al  0.250  0.250  0.250
Al  0.750  0.750  0.750
Si  0.000  0.000  0.000
Ni  0.500  0.500  0.500

=====

Record 6
Material: CePaBiO6
Method: DFT, PBE
State: optimized geometry

Summary:
- Energy relative to the elements, uncorrected: -267.3 kJ/mol of atoms

Cell lengths 6.010, 6.010, 9.345 Å; angles 90.00, 90.00, 120.00 degrees
Positions (direct):
Ce  0.333  0.667  0.250
Ce  0.667  0.333  0.750
Pa  0.333  0.667  0.750
Pa  0.667  0.333  0.250
Bi  0.000  0.000  0.000
Bi  0.000  0.000  0.500
O  0.010  0.352  0.636
O  0.010  0.658  0.864
O  0.342  0.352  0.864
O  0.342  0.990  0.636
O  0.352  0.010  0.136
O  0.352  0.342  0.364
O  0.648  0.658  0.636
O  0.648  0.990  0.864
O  0.658  0.010  0.364
O  0.658  0.648  0.136
O  0.990  0.342  0.136
O  0.990  0.648  0.364

=====

Record 7
Material: Cs2KSe
Method: DFT, PBE
State: optimized geometry

Summary:
- Energy relative to the elements, uncorrected: -67.3 kJ/mol of atoms

Cell lengths 10.011, 10.011, 10.011 Å; angles 95.81, 95.81, 142.91 degrees
Positions (direct):
Cs  0.375  0.202  0.327
Cs  0.798  0.125  0.173
Cs  0.875  0.048  0.673
Cs  0.952  0.625  0.827
K  0.250  0.750  0.500
K  0.500  0.500  0.000
Se  0.000  0.000  0.000
Se  0.750  0.250  0.500

=====

Record 8
Material: K2AlGaF
Method: DFT, PBE
State: optimized geometry

Summary:
- Energy relative to the elements, uncorrected: -35.7 kJ/mol of atoms

Cell lengths 6.620, 6.620, 4.584 Å; angles 90.00, 90.00, 90.00 degrees
Positions (direct):
K  0.000  0.500  0.000
K  0.500  0.000  0.000
Al  0.000  0.000  0.000
Ga  0.000  0.000  0.500
F  0.500  0.500  0.500